Below is an optimized crystal structure of NaLiPSe3, with properties calculated at the PBE-GGA level.

The calculation puts the formation energy from raw total energies at -0.599 eV/atom.

The structure belongs to space group C2/m (No. 12); the cell edges are 11.406, 7.600 and 8.357 Å and the angles 90.00°, 123.34° and 90.00°. The distinct sites, in fractional coordinates, are Na at (0.180, 0.000, 0.202), Li at (0.000, 0.208, 0.500), P at (0.034, 0.500, 0.158), Se at (0.070, 0.260, 0.832) and Se at (0.236, 0.000, 0.616).

---

Below is an optimized crystal structure of NaLiSiP2, with properties calculated at the PBE-GGA level.

The calculation puts the formation energy from raw total energies at -0.417 eV/atom.

The structure belongs to space group C2/m (No. 12); the cell edges are 13.174, 3.728 and 9.629 Å and the angles 90.00°, 124.42° and 90.00°. The distinct sites, in fractional coordinates, are Na at (0.195, 0.000, 0.134), Li at (0.153, 0.500, 0.415), Si at (0.036, 0.000, 0.677), P at (0.060, 0.500, 0.837) and P at (0.153, 0.000, 0.575).

---

Below is an optimized crystal structure of NaLiTe2P, with properties calculated at the PBE-GGA level.

The calculation puts the formation energy from raw total energies at 0.583 eV/atom.

The structure belongs to space group P4/mmm (No. 123); the cell edges are 5.509, 5.509 and 4.446 Å and the angles 90.00°, 90.00° and 90.00°. The distinct sites, in fractional coordinates, are Na at (0.000, 0.000, 0.000), Li at (0.000, 0.000, 0.500), Te at (0.000, 0.500, 0.000) and P at (0.500, 0.500, 0.500).

---

Below is an optimized crystal structure of NaLi2TiP, with properties calculated at the PBE-GGA level.

The calculation puts the total energy at -3.17 eV per atom.

The structure belongs to space group P4/mmm (No. 123); the cell edges are 4.656, 4.656 and 5.342 Å and the angles 90.00°, 90.00° and 90.00°. The distinct sites, in fractional coordinates, are Na at (0.000, 0.000, 0.000), Li at (0.000, 0.500, 0.500), Ti at (0.500, 0.500, 0.000) and P at (0.000, 0.000, 0.500).

---

Below is an optimized crystal structure of NaLiTlP, with properties calculated at the PBE-GGA level.

The calculation puts the total energy at -2.95 eV per atom.

The structure belongs to space group F-43m (No. 216); the cell edges are 6.913, 6.913 and 6.913 Å and the angles 90.00°, 90.00° and 90.00°. The distinct sites, in fractional coordinates, are Na at (0.000, 0.000, 0.000), Li at (0.000, 0.000, 0.500), Tl at (0.250, 0.250, 0.750) and P at (0.250, 0.250, 0.250).

---

Below is an optimized crystal structure of Na2LiPa, with properties calculated at the PBE-GGA level.

The calculation puts the total energy at -3.19 eV per atom.

The structure belongs to space group R-3m (No. 166, hexagonal axes); the cell edges are 3.1355, 3.1355 and 37.7495 Å and the angles 90.00°, 90.00° and 120.00°. The distinct sites, in fractional coordinates, are Na at (0.0000, 0.0000, 0.0901), Li at (0.0000, 0.0000, 0.5000) and Pa at (0.0000, 0.0000, 0.0000).

---

Density for the records above, in order: 3.27; 2.04; 3.89; 1.66; 5.33; 4.40 Mg/m³
Magnetic moment for the records above, in order: 0.00; 0.00; 0.00; 0.19; 0.00; 0.38 μB per formula unit